# 1
A plane-wave DFT calculation with PBE-GGA was carried out for a geometry-optimized La4TbAg5 structure.

Cell and atoms, written as POSCAR:
```
La4TbAg5
1.0
-2.8857 0.0149 2.3933
0.2070 -3.7334 0.2729
12.3087 1.7665 14.8297
La Ag Tb
4 5 1
Cartesian
7.4066 1.0630 8.9235
2.3912 0.3432 2.8809
4.9022 0.7036 5.9062
9.9176 1.4233 11.9488
-0.2580 -1.7040 2.6360
7.3186 -0.6166 11.7643
9.8880 -0.2479 14.8600
4.8150 -0.9760 8.7480
2.3115 -1.3353 5.7317
0.0000 0.0000 0.0000
```

The density of states at the Fermi level is 0.86 states/eV per atom. Its symmetry is No. 123. The calculation puts the total energy at -4.13 eV/atom. As for the volume: 27.2 Å³/atom.

---

# 2
A plane-wave DFT calculation with PBE-GGA was carried out for a geometry-optimized ZrTe2RuPb structure.

Cell and atoms, written as POSCAR:
```
ZrTe2RuPb
1.0
-4.6579 -2.2487 -0.8928
1.5597 -1.3961 -4.6210
1.8026 -4.5174 1.9732
Ru Te Pb Zr
1 2 1 1
Cartesian
0.0000 0.0000 0.0000
0.9013 -2.2587 0.9866
-2.3290 -1.1243 -0.4464
0.7799 -0.6980 -2.3105
-0.6478 -4.0811 -1.7703
```

The density of states at the Fermi level is 1.29 states/eV per atom. For the raw formation energy, the calculation gives 567.6 meV per atom. Its symmetry is No. 123. The calculation puts the total energy at -5.00 eV/atom. As for the volume: 28.0 Å³/atom.